Model P:
The following is a DFT calculation (PBE) of crystalline ErTc2C at its relaxed geometry.

Lattice parameters (Å, degrees): 3.151 9.961 7.379 90.00 90.00 90.00
Space group Cmcm (No. 63)
One atom of each set of equivalent atoms:
Er 0.000 0.055 0.250 [4 per cell]
Tc 0.000 0.341 0.063 [8 per cell]
C 0.000 0.223 0.750 [4 per cell]

Output
Calculated volume in A^3/atom: 14.5

---

Model Q:
The following is a DFT calculation (PBE) of crystalline ErTc2C at its relaxed geometry.

Lattice parameters (Å, degrees): 3.1903 3.1903 21.3118 90.00 90.00 120.00
Space group R-3m (No. 166, hexagonal axes)
One atom of each set of equivalent atoms:
Er 0.0000 0.0000 0.0000 [3 per cell]
Tc 0.0000 0.0000 0.2155 [6 per cell]
C 0.0000 0.0000 0.5000 [3 per cell]

Output
Calculated volume in A^3/atom: 15.7

---

Short version: model P is the most stable of them.

---

Model P:
The following is a DFT calculation (PBE) of crystalline Er4Te3C at its relaxed geometry.

Lattice parameters (Å, degrees): 10.240 7.869 5.897 90.00 90.00 90.00
Space group Pmn2_1 (No. 31)
One atom of each set of equivalent atoms:
Er 0.000 0.135 0.000 [2 per cell]
Er 0.000 0.854 0.470 [2 per cell]
Er 0.205 0.238 0.459 [4 per cell]
Te 0.000 0.750 0.968 [2 per cell]
Te 0.240 0.349 0.959 [4 per cell]
C 0.000 0.137 0.394 [2 per cell]

Output
Calculated volume in A^3/atom: 29.7

---

Model Q:
The following is a DFT calculation (PBE) of crystalline Er4Te3C at its relaxed geometry.

Lattice parameters (Å, degrees): 8.498 11.935 4.031 90.00 90.00 90.00
Space group Cmmm (No. 65)
One atom of each set of equivalent atoms:
Er 0.000 0.206 0.000 [4 per cell]
Er 0.198 0.000 0.500 [4 per cell]
Te 0.000 0.500 0.000 [2 per cell]
Te 0.250 0.250 0.500 [4 per cell]
C 0.000 0.000 0.000 [2 per cell]

Output
Calculated volume in A^3/atom: 25.5

---

Short version: model Q is the most stable of them.

---

Model P:
The following is a DFT calculation (PBE) of crystalline ErThC at its relaxed geometry.

Lattice parameters (Å, degrees): 3.5801 3.5801 6.3858 90.00 90.00 120.00
Space group P3m1 (No. 156)
One atom of each set of equivalent atoms:
Er 0.0000 0.0000 0.0000 [1 per cell]
Th 0.3333 0.6667 0.4352 [1 per cell]
C 0.6667 0.3333 0.2048 [1 per cell]

Output
Calculated volume in A^3/atom: 23.6

---

Model Q:
The following is a DFT calculation (PBE) of crystalline ErThC at its relaxed geometry.

Lattice parameters (Å, degrees): 12.538 3.592 6.275 90.00 100.35 90.00
Space group C2/m (No. 12)
One atom of each set of equivalent atoms:
Er 0.109 0.000 0.375 [4 per cell]
Th 0.117 0.500 0.871 [4 per cell]
C 0.000 0.000 0.000 [2 per cell]
C 0.000 0.500 0.500 [2 per cell]

Output
Calculated volume in A^3/atom: 23.2

---

Short version: model Q is the most stable of them.

---

Model P:
The following is a DFT calculation (PBE) of crystalline ErThC2 at its relaxed geometry.

Lattice parameters (Å, degrees): 3.6445 3.6445 18.2123 90.00 90.00 120.00
Space group R3m (No. 160, hexagonal axes)
One atom of each set of equivalent atoms:
Er 0.0000 0.0000 0.0000 [3 per cell]
Th 0.0000 0.0000 0.1708 [3 per cell]
C 0.0000 0.0000 0.5878 [3 per cell]
C 0.0000 0.0000 0.7558 [3 per cell]

Output
Calculated volume in A^3/atom: 17.5

---

Model Q:
The following is a DFT calculation (PBE) of crystalline ErThC2 at its relaxed geometry.

Lattice parameters (Å, degrees): 6.415 3.690 6.317 90.00 110.19 90.00
Space group C2/m (No. 12)
One atom of each set of equivalent atoms:
Er 0.000 0.000 0.000 [2 per cell]
Th 0.000 0.500 0.500 [2 per cell]
C 0.250 0.000 0.752 [4 per cell]

Output
Calculated volume in A^3/atom: 17.5

---

Short version: model Q is the most stable of them.

---

Model P:
The following is a DFT calculation (PBE) of crystalline Er3TlC at its relaxed geometry.

Lattice parameters (Å, degrees): 4.866 4.866 4.866 90.00 90.00 90.00
Space group Pm-3m (No. 221)
One atom of each set of equivalent atoms:
Er 0.000 0.000 0.500 [3 per cell]
Tl 0.500 0.500 0.500 [1 per cell]
C 0.000 0.000 0.000 [1 per cell]

Output
Calculated volume in A^3/atom: 23.1

---

Model Q:
The following is a DFT calculation (PBE) of crystalline Er3TlC at its relaxed geometry.

Lattice parameters (Å, degrees): 5.560 5.560 5.560 90.00 90.00 90.00
Space group Pm-3m (No. 221)
One atom of each set of equivalent atoms:
Er 0.000 0.000 0.500 [3 per cell]
Tl 0.000 0.000 0.000 [1 per cell]
C 0.500 0.500 0.500 [1 per cell]

Output
Calculated volume in A^3/atom: 34.4

---

Short version: model P is the most stable of them.

---

Model P:
The following is a DFT calculation (PBE) of crystalline Er3Tl2C at its relaxed geometry.

Lattice parameters (Å, degrees): 4.913 16.043 3.593 90.00 90.00 90.00
Space group Cmmm (No. 65)
One atom of each set of equivalent atoms:
Er 0.000 0.000 0.000 [2 per cell]
Er 0.000 0.396 0.500 [4 per cell]
Tl 0.000 0.193 0.000 [4 per cell]
C 0.000 0.500 0.000 [2 per cell]

Output
Calculated volume in A^3/atom: 23.6

---

Model Q:
The following is a DFT calculation (PBE) of crystalline Er3Tl2C at its relaxed geometry.

Lattice parameters (Å, degrees): 8.460 11.323 6.435 90.00 105.79 90.00
Space group C2/c (No. 15)
One atom of each set of equivalent atoms:
Er 0.162 0.073 0.493 [8 per cell]
Er 0.250 0.250 0.000 [4 per cell]
Tl 0.000 0.304 0.250 [4 per cell]
Tl 0.000 0.431 0.750 [4 per cell]
C 0.000 0.068 0.750 [4 per cell]

Output
Calculated volume in A^3/atom: 24.7

---

Short version: model P is the most stable of them.

---

Model P:
The following is a DFT calculation (PBE) of crystalline ErU2C3 at its relaxed geometry.

Lattice parameters (Å, degrees): 3.528 5.017 10.367 90.00 90.00 90.00
Space group Immm (No. 71)
One atom of each set of equivalent atoms:
Er 0.000 0.000 0.000 [2 per cell]
U 0.000 0.000 0.335 [4 per cell]
C 0.000 0.500 0.000 [2 per cell]
C 0.000 0.500 0.317 [4 per cell]

Output
Calculated volume in A^3/atom: 15.3

---

Model Q:
The following is a DFT calculation (PBE) of crystalline ErU2C3 at its relaxed geometry.

Lattice parameters (Å, degrees): 6.100 3.268 9.032 90.00 90.00 90.00
Space group Pmma (No. 51)
One atom of each set of equivalent atoms:
Er 0.250 0.000 0.072 [2 per cell]
U 0.250 0.000 0.717 [2 per cell]
U 0.250 0.500 0.391 [2 per cell]
C 0.000 0.000 0.500 [2 per cell]
C 0.006 0.500 0.812 [4 per cell]

Output
Calculated volume in A^3/atom: 15.0

---

Short version: model P is the most stable of them.

---

Model P:
The following is a DFT calculation (PBE) of crystalline YEr2C at its relaxed geometry.

Lattice parameters (Å, degrees): 3.5615 3.5615 8.9915 90.00 90.00 120.00
Space group P-3m1 (No. 164)
One atom of each set of equivalent atoms:
Y 0.0000 0.0000 0.0000 [1 per cell]
Er 0.3333 0.6667 0.6479 [2 per cell]
C 0.0000 0.0000 0.5000 [1 per cell]

Output
Calculated volume in A^3/atom: 24.7

---

Model Q:
The following is a DFT calculation (PBE) of crystalline YEr2C at its relaxed geometry.

Lattice parameters (Å, degrees): 3.5139 3.5139 28.6634 90.00 90.00 120.00
Space group R-3m (No. 166, hexagonal axes)
One atom of each set of equivalent atoms:
Y 0.0000 0.0000 0.0000 [3 per cell]
Er 0.0000 0.0000 0.1204 [6 per cell]
C 0.0000 0.0000 0.5000 [3 per cell]

Output
Calculated volume in A^3/atom: 25.5

---

Short version: model P is the most stable of them.